No. 1
A plane-wave DFT calculation with GGA-PBE was carried out for a geometry-optimized Rb2HgPtN structure.

For the formation energy without anion corrections, the calculation gives -60 meV per atom. The calculated volume is 171.06 Å³ per cell. The calculation puts the density at 5.64 g cm⁻³.

It has space group P4/mmm (No. 123), with a = 6.7742 Å, b = 6.7742 Å, c = 3.7276 Å, α = 90.00°, β = 90.00° and γ = 90.00°. The asymmetric unit holds Rb at (0.0000, 0.5000, 0.0000), Hg at (0.0000, 0.0000, 0.5000), Pt at (0.5000, 0.5000, 0.0000) and N at (0.5000, 0.5000, 0.5000).


No. 2
A plane-wave DFT calculation with GGA-PBE was carried out for a geometry-optimized LiAl2Tc structure.

For the formation energy, the calculation gives 24 meV per atom. The calculated volume is 184.12 Å³ per cell. The calculation puts the density at 4.30 g cm⁻³.

It has space group R3m (No. 160, hexagonal axes), with a = 2.8147 Å, b = 2.8147 Å, c = 26.8362 Å, α = 90.00°, β = 90.00° and γ = 120.00°. The asymmetric unit holds Li at (0.0000, 0.0000, 0.0000), Al at (0.0000, 0.0000, 0.2480), Al at (0.0000, 0.0000, 0.4964) and Tc at (0.0000, 0.0000, 0.7524).